A geometry-optimized MoH2O4 structure, computed with GGA-PBEsol.

## Properties
SG: No. 2
Total magnetization, μB/f.u.: 0.00
Energy, eV per atom: -7.170
Crystal system: triclinic

Lattice parameters (Å, degrees): 3.690 6.326 7.801 60.64 86.40 78.10
Sites, in units of the cell vectors:
Mo: 0.727 0.048 0.800
Mo: 0.206 0.943 0.201
H: 0.197 0.496 0.162
H: 0.736 0.495 0.838
H: 0.455 0.557 0.664
H: 0.477 0.434 0.336
O: 0.681 0.210 0.550
O: 0.252 0.781 0.451
O: 0.721 0.932 0.127
O: 0.212 0.058 0.873
O: 0.831 0.748 0.847
O: 0.102 0.242 0.153
O: 0.600 0.418 0.785
O: 0.333 0.573 0.216



A geometry-optimized Hf2HI structure, computed with GGA-PBEsol.

## Properties
SG: No. 225
Total magnetization, μB/f.u.: 0.00
Energy relative to the lowest polymorph listed for this composition, eV/atom: 0.397
Crystal system: cubic

Lattice parameters (Å, degrees): 4.670 4.670 4.670 60.00 60.00 60.00
Sites, in units of the cell vectors:
I: 0.500 0.500 0.500
H: 0.000 0.000 0.000
Hf: 0.250 0.250 0.250
Hf: 0.750 0.750 0.750



A geometry-optimized InRu3Se structure, computed with GGA-PBEsol.

## Properties
SG: No. 221
Energy relative to the elements, uncorrected, eV/atom: 0.79
Total magnetization, μB/f.u.: 0.00
Energy relative to the lowest polymorph listed for this composition, eV/atom: 0.000
Crystal system: cubic

Lattice parameters (Å, degrees): 4.468 4.468 4.468 90.00 90.00 90.00
Sites, in units of the cell vectors:
Ru: 0.000 0.500 0.000
Ru: 0.000 0.000 0.500
Ru: 0.500 0.000 0.000
Se: 0.000 0.000 0.000
In: 0.500 0.500 0.500



A geometry-optimized Hg3AsI structure, computed with GGA-PBEsol.

## Properties
SG: No. 221
Energy relative to the elements, uncorrected, eV/atom: -0.01
Total magnetization, μB/f.u.: 0.00
Crystal system: cubic

Lattice parameters (Å, degrees): 5.282 5.282 5.282 90.00 90.00 90.00
Sites, in units of the cell vectors:
I: 0.500 0.500 0.500
As: 0.000 0.000 0.000
Hg: 0.000 0.500 0.000
Hg: 0.000 0.000 0.500
Hg: 0.500 0.000 0.000



A geometry-optimized Y2HgPbF structure, computed with GGA-PBEsol.

## Properties
SG: No. 123
Energy relative to the elements, uncorrected, eV/atom: -1.05
Total magnetization, μB/f.u.: 0.00
Crystal system: tetragonal

Lattice parameters (Å, degrees): 4.755 4.755 4.970 90.00 90.00 90.00
Sites, in units of the cell vectors:
Pb: 0.500 0.500 0.500
Y: 0.000 0.500 0.000
Y: 0.500 0.000 0.000
Hg: 0.000 0.000 0.500
F: 0.000 0.000 0.000



A geometry-optimized YW structure, computed with GGA-PBEsol.

## Properties
SG: No. 194
Total magnetization, μB/f.u.: 0.00
Formation energy from the elements, eV/atom: 0.84
Crystal system: hexagonal

Lattice parameters (Å, degrees): 4.776 4.970 4.970 120.00 90.00 90.00
Sites, in units of the cell vectors:
W: 0.000 0.000 0.000
W: 0.500 0.000 0.000
Y: 0.750 0.667 0.333
Y: 0.250 0.333 0.667